The following is a PBE calculation of Tb3Pm4Sc2 after structural relaxation, from the Alexandria database.

Cell: 3.601 6.581 14.249 Å, 63.53 90.00 105.88°
Positions (direct):
Pm (0.347, 0.694, 0.871)
Pm (0.106, 0.213, 0.615)
Pm (0.653, 0.306, 0.129)
Pm (0.894, 0.787, 0.385)
Tb (0.000, 0.000, 0.000)
Tb (0.376, 0.753, 0.613)
Tb (0.624, 0.247, 0.387)
Sc (0.660, 0.320, 0.792)
Sc (0.340, 0.680, 0.208)

Calculated values
The space group is No. 12. As for the formation energy: 0.091 eV/atom.

=====

The following is a PBE calculation of Tb3Pm3Sc2 after structural relaxation, from the Alexandria database.

Cell: 5.503 5.693 8.931 Å, 109.35 107.94 90.00°
Positions (direct):
Sc (0.750, 0.688, 0.500)
Sc (0.250, 0.312, 0.500)
Tb (0.139, 0.680, 0.278)
Tb (0.861, 0.320, 0.722)
Tb (0.000, 0.000, 0.000)
Pm (0.500, 0.500, 0.000)
Pm (0.360, 0.907, 0.720)
Pm (0.640, 0.093, 0.280)

Calculated values
The space group is No. 12. For the excess energy over the best structure of this formula in the dataset, the calculation gives 40 meV/atom. As for the formation energy: 0.079 eV/atom.

=====

The following is a PBE calculation of Tb2Pm2Sc3 after structural relaxation, from the Alexandria database.

Cell: 6.221 5.547 12.138 Å, 90.00 90.00 92.41°
Positions (direct):
Tb (0.499, 0.961, 0.656)
Tb (0.999, 0.961, 0.844)
Tb (0.001, 0.039, 0.156)
Tb (0.501, 0.039, 0.344)
Sc (0.289, 0.532, 0.443)
Sc (0.211, 0.468, 0.943)
Sc (0.789, 0.532, 0.057)
Sc (0.711, 0.468, 0.557)
Sc (0.500, 0.000, 0.000)
Sc (0.000, 0.000, 0.500)
Pm (0.664, 0.454, 0.822)
Pm (0.836, 0.546, 0.322)
Pm (0.164, 0.454, 0.678)
Pm (0.336, 0.546, 0.178)

Calculated values
The space group is No. 14. For the excess energy over the best structure of this formula in the dataset, the calculation gives 0 meV/atom. As for the formation energy: 0.164 eV/atom.

=====

The following is a PBE calculation of Tb5Pm12Sc2 after structural relaxation, from the Alexandria database.

Cell: 7.435 10.277 9.932 Å, 64.98 90.00 111.21°
Positions (direct):
Pm (0.925, 0.329, 0.503)
Pm (0.997, 0.994, 0.203)
Pm (0.404, 0.329, 0.503)
Pm (0.493, 0.986, 0.321)
Pm (0.408, 0.320, 0.152)
Pm (0.088, 0.680, 0.848)
Pm (0.003, 0.006, 0.797)
Pm (0.596, 0.671, 0.497)
Pm (0.075, 0.671, 0.497)
Pm (0.592, 0.680, 0.848)
Pm (0.912, 0.320, 0.152)
Pm (0.507, 0.014, 0.679)
Tb (0.000, 0.000, 0.500)
Tb (0.675, 0.351, 0.810)
Tb (0.826, 0.652, 0.172)
Tb (0.325, 0.649, 0.190)
Tb (0.174, 0.348, 0.828)
Sc (0.306, 0.000, 0.000)
Sc (0.694, 0.000, 0.000)

Calculated values
The space group is No. 12. For the excess energy over the best structure of this formula in the dataset, the calculation gives 14 meV/atom. As for the formation energy: 0.162 eV/atom.

=====

The following is a PBE calculation of Tb5Pm2Sc5 after structural relaxation, from the Alexandria database.

Cell: 5.430 8.711 9.457 Å, 123.10 90.00 108.16°
Positions (direct):
Pm (0.129, 0.259, 0.788)
Pm (0.871, 0.741, 0.212)
Tb (0.500, 0.000, 0.500)
Tb (0.630, 0.260, 0.304)
Tb (0.378, 0.756, 0.037)
Tb (0.622, 0.244, 0.963)
Tb (0.370, 0.740, 0.696)
Sc (0.125, 0.251, 0.451)
Sc (0.000, 0.000, 0.000)
Sc (0.753, 0.507, 0.745)
Sc (0.247, 0.493, 0.255)
Sc (0.875, 0.749, 0.549)

Calculated values
The space group is No. 12. As for the formation energy: 0.096 eV/atom.

=====

The following is a PBE calculation of Tb2PmSc after structural relaxation, from the Alexandria database.

Cell: 5.590 5.590 5.590 Å, 60.00 60.00 60.00°
Positions (direct):
Tb (0.750, 0.750, 0.750)
Tb (0.250, 0.250, 0.250)
Sc (0.000, 0.000, 0.000)
Pm (0.500, 0.500, 0.500)

Calculated values
The space group is No. 225. For the excess energy over the best structure of this formula in the dataset, the calculation gives 120 meV/atom. As for the formation energy: 0.155 eV/atom.

=====

The following is a PBE calculation of Tb2Pm7Sc2 after structural relaxation, from the Alexandria database.

Cell: 6.092 7.954 7.954 Å, 92.96 75.34 75.34°
Positions (direct):
Pm (0.190, 0.059, 0.581)
Pm (0.796, 0.421, 0.421)
Pm (0.000, 0.000, 0.000)
Pm (0.204, 0.579, 0.579)
Pm (0.190, 0.581, 0.059)
Pm (0.810, 0.941, 0.419)
Pm (0.810, 0.419, 0.941)
Tb (0.583, 0.788, 0.788)
Tb (0.417, 0.212, 0.212)
Sc (0.500, 0.775, 0.225)
Sc (0.500, 0.225, 0.775)

Calculated values
The space group is No. 12. As for the formation energy: 0.148 eV/atom.

=====

The following is a PBE calculation of Tb15PmSc4 after structural relaxation, from the Alexandria database.

Cell: 4.962 4.962 24.726 Å, 90.00 90.00 90.00°
Positions (direct):
Tb (0.500, 0.500, 0.401)
Tb (0.500, 0.000, 0.104)
Tb (0.000, 0.500, 0.698)
Tb (0.500, 0.500, 0.204)
Tb (0.500, 0.500, 0.000)
Tb (0.500, 0.000, 0.500)
Tb (0.000, 0.500, 0.500)
Tb (0.500, 0.500, 0.796)
Tb (0.500, 0.000, 0.896)
Tb (0.000, 0.500, 0.896)
Tb (0.000, 0.500, 0.104)
Tb (0.000, 0.500, 0.302)
Tb (0.500, 0.000, 0.302)
Tb (0.500, 0.500, 0.599)
Tb (0.500, 0.000, 0.698)
Sc (0.000, 0.000, 0.401)
Sc (0.000, 0.000, 0.599)
Sc (0.000, 0.000, 0.203)
Sc (0.000, 0.000, 0.797)
Pm (0.000, 0.000, 0.000)

Calculated values
The space group is No. 123. As for the formation energy: 0.035 eV/atom.

=====

The following is a PBE calculation of TbPm5Sc4 after structural relaxation, from the Alexandria database.

Cell: 6.213 7.682 7.682 Å, 80.59 66.14 66.14°
Positions (direct):
Pm (0.201, 0.900, 0.602)
Pm (0.702, 0.100, 0.398)
Pm (0.803, 0.398, 0.900)
Pm (0.101, 0.602, 0.100)
Pm (0.682, 0.000, 0.000)
Sc (0.091, 0.302, 0.417)
Sc (0.392, 0.417, 0.698)
Sc (0.508, 0.583, 0.302)
Sc (0.810, 0.698, 0.583)
Tb (0.222, 0.000, 0.000)

Calculated values
The space group is No. 79. For the excess energy over the best structure of this formula in the dataset, the calculation gives 284 meV/atom. As for the formation energy: 0.329 eV/atom.

=====

The following is a PBE calculation of Tb3Pm2Sc2 after structural relaxation, from the Alexandria database.

Cell: 8.717 6.506 9.892 Å, 90.00 90.00 50.63°
Positions (direct):
Sc (0.777, 0.666, 0.999)
Sc (0.723, 0.834, 0.499)
Sc (0.223, 0.334, 0.001)
Sc (0.277, 0.166, 0.501)
Tb (0.908, 0.333, 0.298)
Tb (0.000, 0.000, 0.000)
Tb (0.092, 0.667, 0.702)
Tb (0.500, 0.500, 0.500)
Tb (0.408, 0.833, 0.202)
Tb (0.592, 0.167, 0.798)
Pm (0.095, 0.674, 0.304)
Pm (0.405, 0.826, 0.804)
Pm (0.595, 0.174, 0.196)
Pm (0.905, 0.326, 0.696)

Calculated values
The space group is No. 14. For the excess energy over the best structure of this formula in the dataset, the calculation gives 81 meV/atom. As for the formation energy: 0.126 eV/atom.

=====

| no. | DOS at the Fermi energy (states/eV/atom) |
| --- | --- |
| 1 | 1.590 |
| 2 | 1.657 |
| 3 | 1.598 |
| 4 | 1.714 |
| 5 | 1.816 |
| 6 | 2.525 |
| 7 | 1.395 |
| 8 | 1.443 |
| 9 | 1.574 |
| 10 | 1.408 |